No. 1
Density functional theory data (PBE) for LaTlAg4 after structural relaxation. Values from VASP.

```
&SYSTEM
  ibrav = 0, nat = 6, ntyp = 3
/
ATOMIC_SPECIES
La 138.91 La.upf
Tl 204.38 Tl.upf
Ag 107.87 Ag.upf
ATOMIC_POSITIONS angstrom
La 0.000 0.000 0.000
Tl 2.022 2.022 2.022
Ag 5.053 3.034 3.034
Ag 3.034 5.053 3.034
Ag 3.034 3.034 5.053
Ag 5.053 5.053 5.053
CELL_PARAMETERS angstrom
0.000 4.044 4.044
4.044 0.000 4.044
4.044 4.044 0.000
```


No. 2
Density functional theory data (PBE) for Pm4GeTe2Au after structural relaxation. Values from VASP.

```
&SYSTEM
  ibrav = 0, nat = 8, ntyp = 4
/
ATOMIC_SPECIES
Pm 145.00 Pm.upf
Ge 72.64 Ge.upf
Te 127.60 Te.upf
Au 196.97 Au.upf
ATOMIC_POSITIONS angstrom
Pm 1.204 0.000 1.672
Pm -0.022 2.170 5.617
Pm 5.077 2.170 1.708
Pm 3.851 0.000 5.653
Ge 0.000 2.170 0.000
Te -1.233 0.000 3.662
Te 2.528 2.170 3.662
Au 3.760 0.000 0.000
CELL_PARAMETERS angstrom
7.521 0.000 0.000
0.000 4.340 0.000
-2.466 0.000 7.325
```

Formation energy from raw total energies in eV/atom: -1.130


No. 3
Density functional theory data (PBE) for K2SnPb after structural relaxation. Values from VASP.

```
&SYSTEM
  ibrav = 0, nat = 8, ntyp = 3
/
ATOMIC_SPECIES
K 39.10 K.upf
Sn 118.71 Sn.upf
Pb 207.20 Pb.upf
ATOMIC_POSITIONS angstrom
K 7.548 2.389 -0.781
K 2.389 2.516 0.781
K -2.516 2.643 2.343
K 2.643 2.516 3.905
Sn 0.000 0.000 0.000
Sn 0.000 5.032 1.562
Pb 5.032 0.000 1.562
Pb 0.000 0.000 3.124
CELL_PARAMETERS angstrom
-5.032 5.032 3.124
5.032 -5.032 3.124
5.032 5.032 -3.124
```

E above lowest polymorph in meV/atom: 262


No. 4
Density functional theory data (PBE) for DyPuIrI after structural relaxation. Values from VASP.

```
&SYSTEM
  ibrav = 0, nat = 4, ntyp = 4
/
ATOMIC_SPECIES
Dy 162.50 Dy.upf
Pu 244.00 Pu.upf
Ir 192.22 Ir.upf
I 126.90 I.upf
ATOMIC_POSITIONS angstrom
Dy 0.000 0.000 0.000
Pu 0.000 0.000 18.923
Ir 0.000 0.000 9.510
I 0.000 0.000 5.527
CELL_PARAMETERS angstrom
2.038 1.177 7.991
-2.038 1.177 7.991
0.000 -2.353 7.991
```

Formation energy from raw total energies in eV/atom: -0.755


No. 5
Density functional theory data (PBE) for Mg2MnTc after structural relaxation. Values from VASP.

```
&SYSTEM
  ibrav = 0, nat = 4, ntyp = 3
/
ATOMIC_SPECIES
Mg 24.30 Mg.upf
Mn 54.94 Mn.upf
Tc 98.00 Tc.upf
ATOMIC_POSITIONS angstrom
Mg 0.000 0.000 1.365
Mg 0.000 0.000 4.200
Mn 1.354 2.160 2.783
Tc 1.354 2.160 0.000
CELL_PARAMETERS angstrom
2.707 0.000 0.000
0.000 4.320 0.000
0.000 0.000 5.565
```

E above lowest polymorph in meV/atom: 230


no.,E (eV/atom)
1,-3.325
2,-5.277
3,-2.366
4,-8.091
5,-5.379